Entry 1:
Material: Be2BiTe
Method: DFT, PBE
State: relaxed

Output
Raw total energy, eV/atom: -3.484

Cell: 5.800 5.800 11.285 Å, 90.00 90.00 90.00°
Space group I-42d (No. 122)
Unique sites:
1 Be 0.234 0.250 0.125 (multiplicity 8)
2 Bi 0.000 0.000 0.500 (multiplicity 4)
3 Te 0.000 0.000 0.000 (multiplicity 4)

***

Entry 2:
Material: Ru2PtW
Method: DFT, PBE
State: relaxed

Output
Energy relative to the elements, meV per atom: 181

Cell: 6.224 6.224 6.224 Å, 90.00 90.00 90.00°
Space group Fm-3m (No. 225)
Unique sites:
1 Ru 0.250 0.250 0.250 (multiplicity 8)
2 Pt 0.000 0.000 0.000 (multiplicity 4)
3 W 0.000 0.000 0.500 (multiplicity 4)

***

Entry 3:
Material: PaP12Ru4
Method: DFT, PBE
State: relaxed

Output
Energy relative to the elements, meV per atom: -627

Cell: 8.080 8.080 8.080 Å, 90.00 90.00 90.00°
Space group Im-3 (No. 204)
Unique sites:
1 Pa 0.000 0.000 0.000 (multiplicity 2)
2 P 0.000 0.354 0.143 (multiplicity 24)
3 Ru 0.250 0.250 0.250 (multiplicity 8)

***

Entry 4:
Material: TaPtI3
Method: DFT, PBE
State: relaxed

Output
Raw total energy, eV/atom: -3.411

Cell: 5.415 5.415 5.415 Å, 90.00 90.00 90.00°
Space group Pm-3m (No. 221)
Unique sites:
1 Ta 0.000 0.000 0.000 (multiplicity 1)
2 Pt 0.500 0.500 0.500 (multiplicity 1)
3 I 0.000 0.500 0.500 (multiplicity 3)

***

Entry 5:
Material: Ac4Ge2B
Method: DFT, PBE
State: relaxed

Output
Energy relative to the elements, meV per atom: -234

Cell: 5.235 5.235 17.003 Å, 90.00 90.00 90.00°
Space group I4/mmm (No. 139)
Unique sites:
1 Ac 0.000 0.000 0.179 (multiplicity 4)
2 Ac 0.000 0.500 0.000 (multiplicity 4)
3 Ge 0.000 0.000 0.367 (multiplicity 4)
4 B 0.000 0.000 0.000 (multiplicity 2)

***

Entry 6:
Material: CaMoPd2C
Method: DFT, PBE
State: relaxed

Output
Energy relative to the elements, meV per atom: 727

Cell: 4.180 4.180 4.743 Å, 90.00 90.00 90.00°
Space group P4/mmm (No. 123)
Unique sites:
1 Ca 0.000 0.000 0.000 (multiplicity 1)
2 Mo 0.500 0.500 0.000 (multiplicity 1)
3 Pd 0.000 0.500 0.500 (multiplicity 2)
4 C 0.000 0.000 0.500 (multiplicity 1)

***

Entry 7:
Material: TbPr6Tl5
Method: DFT, PBE
State: relaxed

Output
Energy relative to the elements, meV per atom: -303

Cell: 5.141 9.194 15.625 Å, 90.00 90.00 90.00°
Space group Immm (No. 71)
Unique sites:
1 Tb 0.000 0.000 0.000 (multiplicity 2)
2 Pr 0.000 0.233 0.500 (multiplicity 4)
3 Pr 0.000 0.261 0.171 (multiplicity 8)
4 Tl 0.000 0.000 0.327 (multiplicity 4)
5 Tl 0.000 0.500 0.000 (multiplicity 2)
6 Tl 0.000 0.500 0.350 (multiplicity 4)

***

Entry 8:
Material: Tb2Er15Sc2
Method: DFT, PBE
State: relaxed

Output
Energy relative to the elements, meV per atom: 293

Cell: 10.9941 10.9941 17.2975 Å, 90.00 90.00 120.00°
Space group R-3m (No. 166, hexagonal axes)
Unique sites:
1 Tb 0.0000 0.0000 0.1785 (multiplicity 6)
2 Er 0.0000 0.2955 0.5000 (multiplicity 18)
3 Er 0.0000 0.5000 0.0000 (multiplicity 9)
4 Er 0.0070 0.5035 0.6377 (multiplicity 18)
5 Sc 0.0000 0.0000 0.4087 (multiplicity 6)

***

Entry 9:
Material: CsSe2
Method: DFT, PBE
State: relaxed

Output
Raw total energy, eV/atom: -3.330

Cell: 5.172 5.185 8.928 Å, 76.98 76.96 89.97°
Space group P-1 (No. 2)
Unique sites:
1 Cs 0.087 0.413 0.250 (multiplicity 2)
2 Se 0.360 0.008 0.904 (multiplicity 2)
3 Se 0.490 0.138 0.597 (multiplicity 2)

***

Entry 10:
Material: PuTlCdSn
Method: DFT, PBE
State: relaxed

Output
Energy relative to the elements, meV per atom: -172

Cell: 4.492 4.676 4.917 Å, 90.00 90.00 90.00°
Space group Pmmm (No. 47)
Unique sites:
1 Pu 0.000 0.000 0.000 (multiplicity 1)
2 Tl 0.500 0.000 0.500 (multiplicity 1)
3 Cd 0.000 0.500 0.500 (multiplicity 1)
4 Sn 0.500 0.500 0.000 (multiplicity 1)

***

Entry 11:
Material: Li3La2NpSe6
Method: DFT, PBE
State: relaxed

Output
Raw total energy, eV/atom: -5.656

Cell: 7.365 12.772 6.927 Å, 90.00 110.61 90.00°
Space group C2/m (No. 12)
Unique sites:
1 Li 0.000 0.000 0.000 (multiplicity 2)
2 Li 0.000 0.340 0.000 (multiplicity 4)
3 La 0.000 0.167 0.500 (multiplicity 4)
4 Np 0.000 0.500 0.500 (multiplicity 2)
5 Se 0.240 0.500 0.243 (multiplicity 4)
6 Se 0.249 0.338 0.760 (multiplicity 8)

***

Entry 12:
Material: ZnCdBiO4
Method: DFT, PBE
State: relaxed

Output
Raw total energy, eV/atom: -4.761

Cell: 6.446 6.786 9.318 Å, 90.00 90.00 90.00°
Space group Imma (No. 74)
Unique sites:
1 Zn 0.000 0.250 0.140 (multiplicity 4)
2 Cd 0.250 0.250 0.750 (multiplicity 4)
3 Bi 0.000 0.000 0.500 (multiplicity 4)
4 O 0.000 0.001 0.740 (multiplicity 8)
5 O 0.241 0.250 0.494 (multiplicity 8)

***

Entry 13:
Material: Cr2InAg
Method: DFT, PBE
State: relaxed

Output
Energy relative to the elements, meV per atom: 599

Cell: 3.059 4.029 5.927 Å, 90.00 90.00 90.00°
Space group Pmm2 (No. 25)
Unique sites:
1 Cr 0.000 0.000 0.000 (multiplicity 1)
2 Cr 0.500 0.500 0.261 (multiplicity 1)
3 In 0.000 0.000 0.498 (multiplicity 1)
4 Ag 0.500 0.500 0.778 (multiplicity 1)

***

Entry 14:
Material: Sm2SnPd3
Method: DFT, PBE
State: relaxed

Output
Energy relative to the elements, meV per atom: -766

Cell: 4.6532 4.6532 14.2458 Å, 90.00 90.00 120.00°
Space group P6_3/mmc (No. 194)
Unique sites:
1 Sm 0.0000 0.0000 0.1197 (multiplicity 4)
2 Sn 0.3333 0.6667 0.2500 (multiplicity 2)
3 Pd 0.3333 0.6667 0.0179 (multiplicity 4)
4 Pd 0.3333 0.6667 0.7500 (multiplicity 2)

***

Entry 15:
Material: KWSe2
Method: DFT, PBE
State: relaxed

Output
Raw total energy, eV/atom: -5.422

Cell: 3.5192 3.5192 29.0686 Å, 90.00 90.00 120.00°
Space group R-3m (No. 166, hexagonal axes)
Unique sites:
1 K 0.0000 0.0000 0.0000 (multiplicity 3)
2 W 0.0000 0.0000 0.5000 (multiplicity 3)
3 Se 0.0000 0.0000 0.1110 (multiplicity 6)

***

Entry 16:
Material: HfBiP2O
Method: DFT, PBE
State: relaxed

Output
Raw total energy, eV/atom: -5.401

Cell: 5.130 5.130 4.101 Å, 90.00 90.00 90.00°
Space group P4/mmm (No. 123)
Unique sites:
1 Hf 0.000 0.000 0.000 (multiplicity 1)
2 Bi 0.500 0.500 0.500 (multiplicity 1)
3 P 0.000 0.500 0.500 (multiplicity 2)
4 O 0.500 0.500 0.000 (multiplicity 1)

***

| no. | total magnetic moment (μB/f.u.) |
| --- | --- |
| 1 | 0.00 |
| 2 | 0.00 |
| 3 | 1.07 |
| 4 | 3.33 |
| 5 | 0.00 |
| 6 | 2.72 |
| 7 | 0.00 |
| 8 | 0.80 |
| 9 | 0.00 |
| 10 | 5.70 |
| 11 | 4.00 |
| 12 | 0.00 |
| 13 | 7.60 |
| 14 | 0.00 |
| 15 | 0.00 |
| 16 | 0.00 |